Entry 1:
# NdHoGa2Pt4

A geometry-optimized NdHoGa2Pt4 structure (PBE, OQMD).

Unit cell a=4.4004 b=4.4004 c=9.2920 alpha=90.00 beta=90.00 gamma=120.00
Positions (direct):
Nd 0.0000 0.0000 0.0000
Ho 0.3333 0.6667 0.5000
Ga 0.6667 0.3333 0.2547
Ga 0.6667 0.3333 0.7453
Pt 0.0000 0.0000 0.3389
Pt 0.0000 0.0000 0.6611
Pt 0.3333 0.6667 0.1783
Pt 0.3333 0.6667 0.8217

Summary:
Its calculated density is 13.1 g cm⁻³.



Entry 2:
# NdHoGa4Pt2

A geometry-optimized NdHoGa4Pt2 structure (PBE, OQMD).

Unit cell a=6.7627 b=4.4010 c=10.3104 alpha=90.00 beta=90.00 gamma=90.00
Positions (direct):
Nd 0.0000 0.0000 0.0000
Nd 0.0000 0.5000 0.5000
Ho 0.5000 0.0000 0.1671
Ho 0.5000 0.5000 0.6671
Ga 0.1993 0.0000 0.7132
Ga 0.1993 0.5000 0.2132
Ga 0.3056 0.0000 0.4499
Ga 0.3056 0.5000 0.9499
Ga 0.6944 0.0000 0.4499
Ga 0.6944 0.5000 0.9499
Ga 0.8007 0.0000 0.7132
Ga 0.8007 0.5000 0.2132
Pt 0.0000 0.0000 0.2877
Pt 0.0000 0.5000 0.7877
Pt 0.5000 0.0000 0.8780
Pt 0.5000 0.5000 0.3780

Summary:
Its calculated density is 10.6 g cm⁻³.



Number 1: final energy -5.979 eV per atom, size of the total moment 0.00 Bohr magnetons per cell. Number 2: final energy -5.099 eV per atom, size of the total moment 0.01 Bohr magnetons per cell.